Record 1
Below is an optimized crystal structure of NiN2F, with properties calculated at the PBE+U level.

Lattice parameters (Å, degrees): 2.6537 2.6537 19.2049 90.00 90.00 120.00
Last column: nearest neighbours and their distance in Å.
Space group R-3m (No. 166, hexagonal axes)
Symmetry-distinct sites (fractional):
Ni 0.0000 0.0000 0.0000 [3 per cell]  2 N 1.71
N 0.0000 0.0000 0.0890 [6 per cell]  1 Ni 1.71
F 0.0000 0.0000 0.5000 [3 per cell]  6 N 2.14

As for the calculated density: 4.50 Mg/m³. The energy is -2.961 eV per atom. The value obtained for the size of the total moment is 0.00 μB/atom. The value obtained for the volume is 9.760 Å³/atom. The crystal system is trigonal.

=====

Record 2
Below is an optimized crystal structure of NiN2F2, with properties calculated at the PBE+U level.

Lattice parameters (Å, degrees): 3.8101 3.8101 3.7572 90.00 90.00 90.00
Last column: nearest neighbours and their distance in Å.
Space group P4/mmm (No. 123)
Symmetry-distinct sites (fractional):
Ni 0.0000 0.0000 0.0000 [1 per cell]  2 F 1.88, 4 N 1.91
N 0.0000 0.5000 0.0000 [2 per cell]  2 Ni 1.91
F 0.0000 0.0000 0.5000 [1 per cell]  2 Ni 1.88
F 0.5000 0.5000 0.5000 [1 per cell]  8 N 2.68, 4 F 2.69

As for the calculated density: 3.80 Mg/m³. The energy is -3.511 eV per atom. The value obtained for the size of the total moment is 0.80 μB/atom. The value obtained for the volume is 10.909 Å³/atom. The crystal system is tetragonal.

=====

Record 3
Below is an optimized crystal structure of NiNO2F, with properties calculated at the PBE+U level.

Lattice parameters (Å, degrees): 3.5691 3.5691 3.5688 90.00 90.00 90.00
Last column: nearest neighbours and their distance in Å.
Space group P4/mmm (No. 123)
Symmetry-distinct sites (fractional):
Ni 0.0000 0.0000 0.0000 [1 per cell]  8 O 2.52, 4 F 2.52
N 0.5000 0.5000 0.5000 [1 per cell]  2 F 1.78, 4 O 1.78
O 0.0000 0.5000 0.5000 [2 per cell]  2 N 1.78
F 0.5000 0.5000 0.0000 [1 per cell]  2 N 1.78

As for the calculated density: 4.52 Mg/m³. The energy is -3.677 eV per atom. The value obtained for the size of the total moment is 0.46 μB/atom. The value obtained for the volume is 9.092 Å³/atom. The crystal system is tetragonal.

=====

Record 4
Below is an optimized crystal structure of NiN2OF, with properties calculated at the PBE+U level.

Lattice parameters (Å, degrees): 3.4630 3.4630 4.8017 90.00 90.00 90.00
Last column: nearest neighbours and their distance in Å.
Space group P4/mmm (No. 123)
Symmetry-distinct sites (fractional):
Ni 0.0000 0.0000 0.0000 [1 per cell]  4 O 2.45
N 0.0000 0.5000 0.5000 [2 per cell]  2 F 1.73
O 0.5000 0.5000 0.0000 [1 per cell]  2 F 2.40, 4 Ni 2.45
F 0.5000 0.5000 0.5000 [1 per cell]  4 N 1.73

As for the calculated density: 3.51 Mg/m³. The energy is -2.944 eV per atom. The value obtained for the size of the total moment is 1.03 μB/atom. The value obtained for the volume is 11.517 Å³/atom. The crystal system is tetragonal.

=====

Record 5
Below is an optimized crystal structure of NiNO2F, with properties calculated at the PBE+U level.

Lattice parameters (Å, degrees): 3.5700 3.5700 3.9979 90.00 90.00 90.00
Last column: nearest neighbours and their distance in Å.
Space group P4/mmm (No. 123)
Symmetry-distinct sites (fractional):
Ni 0.0000 0.0000 0.0000 [1 per cell]  4 O 1.79, 2 N 2.00
N 0.0000 0.0000 0.5000 [1 per cell]  2 Ni 2.00
O 0.0000 0.5000 0.0000 [2 per cell]  2 Ni 1.79
F 0.5000 0.5000 0.5000 [1 per cell]  4 N 2.52, 8 O 2.68

As for the calculated density: 4.03 Mg/m³. The energy is -3.285 eV per atom. The value obtained for the size of the total moment is 0.40 μB/atom. The value obtained for the volume is 10.191 Å³/atom. The crystal system is tetragonal.

=====

Record 6
Below is an optimized crystal structure of NiN2OF, with properties calculated at the PBE+U level.

Lattice parameters (Å, degrees): 3.7988 3.7988 3.6559 90.00 90.00 90.00
Last column: nearest neighbours and their distance in Å.
Space group P4/mmm (No. 123)
Symmetry-distinct sites (fractional):
Ni 0.0000 0.0000 0.0000 [1 per cell]  2 O 1.83, 4 N 1.90
N 0.0000 0.5000 0.0000 [2 per cell]  2 Ni 1.90
O 0.0000 0.0000 0.5000 [1 per cell]  2 Ni 1.83
F 0.5000 0.5000 0.5000 [1 per cell]  8 N 2.64, 4 O 2.69

As for the calculated density: 3.83 Mg/m³. The energy is -3.561 eV per atom. The value obtained for the size of the total moment is 0.81 μB/atom. The value obtained for the volume is 10.552 Å³/atom. The crystal system is tetragonal.

=====

- What is the formula in the sixth record?
  NiN2OF

=====

- Which value of volume does entry 4 give?
  11.517 Å³/atom